HfAlAg2Mo | PBE | relaxed

Lattice parameters (Å, degrees): 4.9441 4.9441 4.6703 90.00 90.00 90.00
Closest atoms and distances in Å follow each position.
Fractional positions:
1 Hf 0.0000 0.0000 0.0000  8 Ag 3.40, 4 Al 3.50
2 Al 0.5000 0.5000 0.0000  2 Mo 2.34
3 Ag 0.0000 0.5000 0.5000  2 Mo 2.47
4 Ag 0.5000 0.0000 0.5000  2 Mo 2.47
5 Mo 0.5000 0.5000 0.5000  2 Al 2.34, 4 Ag 2.47

Values from the calculation:
ΔE_f = 1.278 eV/atom
Theoretical density = 7.52 g cm⁻³
Space-group type = P4/mmm, No. 123



Pm2HfPd | PBE | relaxed

Lattice parameters (Å, degrees): 11.0385 11.0385 11.0385 17.38 17.38 17.38
Closest atoms and distances in Å follow each position.
Fractional positions:
1 Pm 0.0831 0.0831 0.0831  1 Pd 2.71
2 Pm 0.9169 0.9169 0.9169  1 Pd 2.71
3 Hf 0.5000 0.5000 0.5000  6 Hf 3.34, 6 Pm 3.34
4 Pd 0.0000 0.0000 0.0000  2 Pm 2.71

Values from the calculation:
ΔE_f = 0.154 eV/atom
Theoretical density = 9.12 g cm⁻³
Space-group type = R-3m, No. 166



Tl3TcI2Br6 | PBE | relaxed

Lattice parameters (Å, degrees): 9.1843 9.1843 6.6046 90.25 90.25 55.34
Closest atoms and distances in Å follow each position.
Fractional positions:
1 Tl 0.0000 0.0000 0.0000  2 I 3.11, 4 Br 3.29
2 Tl 0.0000 0.5000 0.5000  4 Br 3.32-3.33, 2 I 3.41
3 Tl 0.5000 0.0000 0.5000  4 Br 3.32-3.33, 2 I 3.41
4 Tc 0.5000 0.5000 0.5000  6 Br 2.53-2.54
5 I 0.1839 0.1839 0.1308  3 Tl 3.11-3.41
6 I 0.8161 0.8161 0.8692  3 Tl 3.11-3.41
7 Br 0.2220 0.6423 0.2832  1 Tc 2.54
8 Br 0.3577 0.7780 0.7168  1 Tc 2.54
9 Br 0.3763 0.3763 0.7306  1 Tc 2.53
10 Br 0.6237 0.6237 0.2694  1 Tc 2.53
11 Br 0.6423 0.2220 0.2832  1 Tc 2.54
12 Br 0.7780 0.3577 0.7168  1 Tc 2.54

Values from the calculation:
Uncorrected formation energy = -0.5071 eV/atom
Theoretical density = 5.23 g cm⁻³
Space-group type = C2/m, No. 12



Ca2ReSb | PBE | relaxed

Lattice parameters (Å, degrees): 3.9252 3.9252 6.1041 90.00 90.00 90.00
Closest atoms and distances in Å follow each position.
Fractional positions:
1 Ca 0.0000 0.0000 0.2390  2 Ca 2.92-3.19, 4 Re 3.14, 4 Sb 3.20
2 Ca 0.0000 0.0000 0.7610  2 Ca 2.92-3.19, 4 Re 3.14, 4 Sb 3.20
3 Re 0.5000 0.5000 0.0000  2 Sb 3.05, 8 Ca 3.14
4 Sb 0.5000 0.5000 0.5000  2 Re 3.05, 8 Ca 3.20

Values from the calculation:
Uncorrected formation energy = 0.3189 eV/atom
Theoretical density = 6.85 g cm⁻³
Space-group type = P4/mmm, No. 123